Density functional theory data (PBE) for crystalline Cd2HgTe at its relaxed geometry.

Structure (CIF):
```
data_Cd2HgTe
_chemical_formula_sum 'Cd2 Hg1 Te1'
_symmetry_space_group_name_H-M 'P 1'
_symmetry_Int_Tables_number 1
_symmetry_space_group_name_Hall 'P 1'
_cell_length_a 4.419
_cell_length_b 4.419
_cell_length_c 7.352
_cell_angle_alpha 107.33
_cell_angle_beta 107.33
_cell_angle_gamma 59.76
loop_
_atom_site_label
_atom_site_type_symbol
_atom_site_fract_x
_atom_site_fract_y
_atom_site_fract_z
Cd1 Cd 0.000 0.000 0.000
Cd2 Cd 0.246 0.246 0.741
Hg1 Hg 0.501 0.501 0.506
Te1 Te 0.735 0.735 0.203
```

Summary:
* DOS at the Fermi energy: 1.252 states/eV per cell
* E above lowest polymorph: 55 meV per atom
* E: -1.38 eV per atom
* crystal system: monoclinic